Entry 1:
## Nd6HoTl6 (PBE)

Data for a relaxed structure of Nd6HoTl6.

Results
- space-group type = P2/m, No. 10
- density (kg/m3) = 9128
- DFT formation energy (eV per atom) = -0.142
- total magnetic moment (μB per formula unit) = 0.00

Cell and atoms, written as POSCAR:
```
Nd6HoTl6
1.0
7.224 -0.231 0.000
-3.801 5.810 0.000
0.000 0.000 9.989
Tl Nd Ho
6 6 1
Direct
0.548 0.242 0.000
0.209 0.499 0.500
0.000 0.000 0.683
0.452 0.758 0.000
0.000 0.000 0.317
0.791 0.501 0.500
0.000 0.500 0.193
0.500 0.500 0.752
0.500 0.000 0.690
0.500 0.500 0.248
0.500 0.000 0.310
0.000 0.500 0.807
0.000 0.000 0.000
```

***

Entry 2:
## HfCr2CdPt (PBE)

Data for a relaxed structure of HfCr2CdPt.

Results
- space-group type = P4/mmm, No. 123
- density (kg/m3) = 8742
- DFT formation energy (eV per atom) = 1.701
- total magnetic moment (μB per formula unit) = 5.56

Cell and atoms, written as POSCAR:
```
HfCr2CdPt
1.0
4.619 0.000 0.000
0.000 5.253 0.000
0.000 0.000 4.619
Cr Pt Cd Hf
2 1 1 1
Direct
0.000 0.000 0.500
0.500 0.000 0.000
0.500 0.500 0.500
0.000 0.500 0.000
0.000 0.000 0.000
```

***

Entry 3:
## Ca2La15Sm2 (PBE)

Data for a relaxed structure of Ca2La15Sm2.

Results
- space-group type = R-3m, No. 166
- density (kg/m3) = 5637
- DFT formation energy (eV per atom) = 0.191
- total magnetic moment (μB per formula unit) = 0.00

Cell and atoms, written as POSCAR:
```
Ca2La15Sm2
1.0
8.912 -0.306 1.731
1.369 8.812 1.731
-0.369 -0.306 9.071
La Sm Ca
15 2 2
Direct
0.638 0.149 0.638
0.851 0.362 0.362
0.149 0.638 0.638
0.295 0.705 0.000
0.000 0.000 0.500
0.000 0.500 0.000
0.705 0.295 0.000
0.362 0.362 0.851
0.000 0.295 0.705
0.000 0.705 0.295
0.500 0.000 0.000
0.638 0.638 0.149
0.362 0.851 0.362
0.295 0.000 0.705
0.705 0.000 0.295
0.095 0.095 0.095
0.905 0.905 0.905
0.331 0.331 0.331
0.669 0.669 0.669
```

***

Entry 4:
## TaSi3As (PBE)

Data for a relaxed structure of TaSi3As.

Results
- space-group type = Pm-3m, No. 221
- relative energy among the computed polymorphs (eV/atom) = 0.429
- density (kg/m3) = 5721
- total magnetic moment (μB per formula unit) = 0.00
- formation energy (no corrections) (eV per atom) = 1.39

Cell and atoms, written as POSCAR:
```
TaSi3As
1.0
-0.675 -2.246 -3.982
4.571 -0.229 -0.645
0.117 -4.033 2.254
Si As Ta
3 1 1
Direct
0.000 0.000 0.500
0.500 0.000 0.000
0.000 0.500 0.000
0.000 0.000 0.000
0.500 0.500 0.500
```

***

Question: What is the density in the fourth record?
Answer: 5721 kg/m3

***

Question: The highest total magnetic moment belongs to which entry?
Answer: HfCr2CdPt

***

Question: What is the density in the third record?
Answer: 5637 kg/m3

***

Question: Which of these has the highest total magnetic moment?
Answer: HfCr2CdPt